Density functional theory data (PBE) for a geometry-optimized Er3Sn5S12 structure.

Lattice parameters (Å, degrees): 13.7503 13.7503 13.7503 109.47 109.47 109.47
Fractional positions:
Er (0.1250, 0.2500, 0.3750)
Er (0.1250, 0.3750, 0.7500)
Er (0.2500, 0.3750, 0.1250)
Er (0.2500, 0.8750, 0.6250)
Er (0.3750, 0.1250, 0.2500)
Er (0.3750, 0.7500, 0.1250)
Er (0.6250, 0.2500, 0.8750)
Er (0.6250, 0.8750, 0.7500)
Er (0.7500, 0.1250, 0.3750)
Er (0.7500, 0.6250, 0.8750)
Er (0.8750, 0.6250, 0.2500)
Er (0.8750, 0.7500, 0.6250)
Sn (0.0000, 0.0000, 0.0000)
Sn (0.0000, 0.0000, 0.5000)
Sn (0.0000, 0.5000, 0.0000)
Sn (0.0000, 0.5000, 0.5000)
Sn (0.1250, 0.7500, 0.8750)
Sn (0.1250, 0.8750, 0.2500)
Sn (0.2500, 0.1250, 0.8750)
Sn (0.2500, 0.6250, 0.3750)
Sn (0.3750, 0.2500, 0.6250)
Sn (0.3750, 0.6250, 0.7500)
Sn (0.5000, 0.0000, 0.0000)
Sn (0.5000, 0.0000, 0.5000)
Sn (0.5000, 0.5000, 0.0000)
Sn (0.5000, 0.5000, 0.5000)
Sn (0.6250, 0.3750, 0.2500)
Sn (0.6250, 0.7500, 0.3750)
Sn (0.7500, 0.3750, 0.6250)
Sn (0.7500, 0.8750, 0.1250)
Sn (0.8750, 0.1250, 0.7500)
Sn (0.8750, 0.2500, 0.1250)
S (0.0505, 0.2260, 0.1396)
S (0.0505, 0.3244, 0.9109)
S (0.0865, 0.7260, 0.6756)
S (0.0865, 0.8604, 0.4109)
S (0.0891, 0.6396, 0.4135)
S (0.0891, 0.9495, 0.6756)
S (0.1396, 0.0505, 0.2260)
S (0.1396, 0.5891, 0.9135)
S (0.1756, 0.2260, 0.5865)
S (0.1756, 0.4495, 0.5891)
S (0.2260, 0.1396, 0.0505)
S (0.2260, 0.5865, 0.1756)
S (0.2740, 0.3244, 0.9135)
S (0.2740, 0.4495, 0.3604)
S (0.3244, 0.9109, 0.0505)
S (0.3244, 0.9135, 0.2740)
S (0.3604, 0.2740, 0.4495)
S (0.3604, 0.5865, 0.9109)
S (0.4109, 0.0865, 0.8604)
S (0.4109, 0.8244, 0.5505)
S (0.4135, 0.0891, 0.6396)
S (0.4135, 0.8244, 0.7740)
S (0.4495, 0.3604, 0.2740)
S (0.4495, 0.5891, 0.1756)
S (0.5505, 0.4109, 0.8244)
S (0.5505, 0.6396, 0.7260)
S (0.5865, 0.1756, 0.2260)
S (0.5865, 0.9109, 0.3604)
S (0.5891, 0.1756, 0.4495)
S (0.5891, 0.9135, 0.1396)
S (0.6396, 0.4135, 0.0891)
S (0.6396, 0.7260, 0.5505)
S (0.6756, 0.0865, 0.7260)
S (0.6756, 0.0891, 0.9495)
S (0.7260, 0.5505, 0.6396)
S (0.7260, 0.6756, 0.0865)
S (0.7740, 0.4135, 0.8244)
S (0.7740, 0.8604, 0.9495)
S (0.8244, 0.5505, 0.4109)
S (0.8244, 0.7740, 0.4135)
S (0.8604, 0.4109, 0.0865)
S (0.8604, 0.9495, 0.7740)
S (0.9109, 0.0505, 0.3244)
S (0.9109, 0.3604, 0.5865)
S (0.9135, 0.1396, 0.5891)
S (0.9135, 0.2740, 0.3244)
S (0.9495, 0.6756, 0.0891)
S (0.9495, 0.7740, 0.8604)

Values from the calculation:
The calculation puts the total magnetic moment at 0.00 μB/cell. The calculation puts the formation energy from raw total energies at -0.871 eV per atom.